# 1
NaNi2P after structural relaxation, computed with PBE-GGA.

```
NaNi2P
1.0
4.731 0.000 0.000
0.000 4.731 0.000
2.365 2.365 7.118
Ni P Na
4 2 2
Direct
0.895 0.125 0.250
0.875 0.145 0.750
0.855 0.625 0.250
0.375 0.105 0.750
0.750 0.250 0.500
0.000 0.000 0.000
0.500 0.500 0.000
0.250 0.750 0.500
```

Calculated values
The value obtained for the total energy is -18.497 eV/f.u. Its space-group type is I-42d. The calculation puts the energy of formation at -0.051 eV per atom. The density is 3.573 g/cm³.



# 2
Mg2CrSN after structural relaxation, computed with PBE-GGA.

```
Mg2CrSN
1.0
5.205 0.000 0.000
0.000 3.345 0.000
0.000 0.000 5.205
S N Mg Cr
1 1 2 1
Direct
0.000 0.000 0.000
0.000 0.500 0.000
0.000 0.000 0.500
0.500 0.000 0.000
0.500 0.500 0.500
```

Calculated values
The value obtained for the total energy is -19.331 eV/f.u. Its space-group type is P4/mmm. The density is 2.687 g/cm³. Its energy relative to the elements, uncorrected is 1186.8 meV/atom.



# 3
Ba6As2HN after structural relaxation, computed with PBE-GGA.

```
Ba6As2HN
1.0
7.420 0.000 0.062
0.000 8.678 0.000
0.152 0.000 10.511
Ba H As N
12 2 4 2
Direct
0.190 0.166 0.443
0.382 0.967 0.745
0.690 0.334 0.943
0.840 0.795 0.946
0.118 0.467 0.755
0.340 0.705 0.446
0.310 0.666 0.057
0.160 0.205 0.054
0.618 0.033 0.255
0.882 0.533 0.245
0.810 0.834 0.557
0.660 0.295 0.554
0.500 0.000 0.000
0.000 0.500 0.500
0.445 0.391 0.253
0.945 0.109 0.753
0.055 0.891 0.247
0.555 0.609 0.747
0.000 0.500 0.000
0.500 0.000 0.500
```

Calculated values
The value obtained for the total energy is -39.645 eV/f.u. Its space-group type is P2_1/c. The density is 4.852 g/cm³.



Q: Among the records above, which one has the lowest density?
A: Mg2CrSN



What did the third record say?
Ba6As2HN after structural relaxation, computed with PBE-GGA.

```
Ba6As2HN
1.0
7.420 0.000 0.062
0.000 8.678 0.000
0.152 0.000 10.511
Ba H As N
12 2 4 2
Direct
0.190 0.166 0.443
0.382 0.967 0.745
0.690 0.334 0.943
0.840 0.795 0.946
0.118 0.467 0.755
0.340 0.705 0.446
0.310 0.666 0.057
0.160 0.205 0.054
0.618 0.033 0.255
0.882 0.533 0.245
0.810 0.834 0.557
0.660 0.295 0.554
0.500 0.000 0.000
0.000 0.500 0.500
0.445 0.391 0.253
0.945 0.109 0.753
0.055 0.891 0.247
0.555 0.609 0.747
0.000 0.500 0.000
0.500 0.000 0.500
```

Calculated values
The value obtained for the total energy is -39.645 eV/f.u. Its space-group type is P2_1/c. The density is 4.852 g/cm³.



Q: The highest density belongs to which entry?
A: Ba6As2HN